DFT (PBE) results for a relaxed CsBaSn6 crystal.

Calculated values
The calculation puts the formation energy at -27 kJ per mole of atoms. As for the crystal system: orthorhombic.

Lattice parameters (Å, degrees): 5.639 7.610 13.127 90.00 90.00 90.00
Space group Amm2 (No. 38)
Inequivalent atoms, fractional coordinates:
Cs 0.000 0.000 0.000 [2 per cell]
Ba 0.500 0.000 0.330 [2 per cell]
Sn 0.000 0.000 0.531 [2 per cell]
Sn 0.000 0.197 0.735 [4 per cell]
Sn 0.500 0.000 0.797 [2 per cell]
Sn 0.500 0.197 0.594 [4 per cell]

***

DFT (PBE) results for a relaxed Pm2ZnSb3Ir4 crystal.

Calculated values
For the formation energy (no corrections), the calculation gives -591.6 meV per atom. As for the crystal system: tetragonal.

Lattice parameters (Å, degrees): 4.343 4.343 11.023 90.00 90.00 90.00
Space group P-4m2 (No. 115)
Inequivalent atoms, fractional coordinates:
Pm 0.000 0.500 0.240 [2 per cell]
Zn 0.500 0.500 0.000 [1 per cell]
Sb 0.000 0.000 0.000 [1 per cell]
Sb 0.000 0.500 0.638 [2 per cell]
Ir 0.000 0.000 0.500 [1 per cell]
Ir 0.000 0.500 0.868 [2 per cell]
Ir 0.500 0.500 0.500 [1 per cell]

***

DFT (PBE) results for a relaxed Cd3HgH2Pd6 crystal.

Calculated values
The value obtained for the calculated total energy is -3.49 eV per atom. As for the crystal system: trigonal.

Lattice parameters (Å, degrees): 5.5897 5.5897 8.9055 90.00 90.00 120.00
Space group P-3m1 (No. 164)
Inequivalent atoms, fractional coordinates:
Cd 0.0000 0.0000 0.0000 [1 per cell]
Cd 0.3333 0.6667 0.7489 [2 per cell]
Hg 0.0000 0.0000 0.5000 [1 per cell]
H 0.3333 0.6667 0.1578 [2 per cell]
Pd 0.1672 0.3343 0.2486 [6 per cell]

***

DFT (PBE) results for a relaxed Cs2SrAgBr5 crystal.

Calculated values
For the formation energy (no corrections), the calculation gives -1600.1 meV per atom. As for the crystal system: orthorhombic.

Lattice parameters (Å, degrees): 4.673 21.158 14.830 90.00 90.00 90.00
Space group Cmc2_1 (No. 36)
Inequivalent atoms, fractional coordinates:
Cs 0.000 0.111 0.000 [4 per cell]
Cs 0.000 0.125 0.634 [4 per cell]
Sr 0.000 0.203 0.333 [4 per cell]
Ag 0.000 0.442 0.758 [4 per cell]
Br 0.000 0.058 0.354 [4 per cell]
Br 0.000 0.291 0.970 [4 per cell]
Br 0.000 0.309 0.694 [4 per cell]
Br 0.000 0.345 0.320 [4 per cell]
Br 0.000 0.499 0.599 [4 per cell]

***

DFT (PBE) results for a relaxed AuBrN crystal.

Calculated values
For the formation energy (no corrections), the calculation gives 921.5 meV per atom. As for the crystal system: monoclinic.

Lattice parameters (Å, degrees): 6.115 3.550 10.906 90.00 104.59 90.00
Space group C2/m (No. 12)
Inequivalent atoms, fractional coordinates:
Au 0.129 0.000 0.415 [4 per cell]
Br 0.157 0.500 0.855 [4 per cell]
N 0.078 0.500 0.676 [4 per cell]

***

DFT (PBE) results for a relaxed RuRh2Pb crystal.

Calculated values
The calculation puts the formation energy at 23 kJ per mole of atoms. As for the crystal system: monoclinic.

Lattice parameters (Å, degrees): 9.119 2.950 4.993 90.00 101.23 90.00
Space group Cm (No. 8)
Inequivalent atoms, fractional coordinates:
Ru 0.000 0.000 0.000 [2 per cell]
Rh 0.243 0.500 0.194 [2 per cell]
Rh 0.494 0.000 0.440 [2 per cell]
Pb 0.247 0.000 0.699 [2 per cell]

***

DFT (PBE) results for a relaxed InAs2Pb crystal.

Calculated values
The calculation puts the formation energy at 22 kJ per mole of atoms. As for the crystal system: tetragonal.

Lattice parameters (Å, degrees): 4.249 4.249 10.973 90.00 90.00 90.00
Space group I-4m2 (No. 119)
Inequivalent atoms, fractional coordinates:
In 0.000 0.000 0.000 [2 per cell]
As 0.000 0.000 0.500 [2 per cell]
As 0.000 0.500 0.250 [2 per cell]
Pb 0.000 0.500 0.750 [2 per cell]

***

DFT (PBE) results for a relaxed PaTl2Pb3Se6 crystal.

Calculated values
For the formation energy (no corrections), the calculation gives -731.0 meV per atom. As for the crystal system: monoclinic.

Lattice parameters (Å, degrees): 7.834 13.609 7.457 90.00 110.50 90.00
Space group C2/m (No. 12)
Inequivalent atoms, fractional coordinates:
Pa 0.000 0.000 0.000 [2 per cell]
Tl 0.000 0.329 0.000 [4 per cell]
Pb 0.000 0.159 0.500 [4 per cell]
Pb 0.000 0.500 0.500 [2 per cell]
Se 0.217 0.000 0.751 [4 per cell]
Se 0.229 0.147 0.243 [8 per cell]

***

| no. | magnetic moment (μB per formula unit) |
| --- | --- |
| 1 | 0.00 |
| 2 | 0.00 |
| 3 | 0.00 |
| 4 | 0.00 |
| 5 | 0.00 |
| 6 | 0.00 |
| 7 | 0.00 |
| 8 | 0.94 |